Ca2NdIn3: relaxed, PBE-GGA.

```
data_Ca2NdIn3
_symmetry_space_group_name_H-M 'P 4/m m m'
_symmetry_Int_Tables_number 123
_symmetry_space_group_name_Hall '-P 4 2'
_cell_length_a 3.854
_cell_length_b 3.854
_cell_length_c 11.616
_cell_angle_alpha 90.00
_cell_angle_beta 90.00
_cell_angle_gamma 90.00
loop_
_atom_site_label
_atom_site_type_symbol
_atom_site_fract_x
_atom_site_fract_y
_atom_site_fract_z
Ca1 Ca 0.000 0.000 0.163
Nd1 Nd 0.000 0.000 0.500
In1 In 0.500 0.500 0.000
In2 In 0.500 0.500 0.330
```

Total moment = 0.00 μB/cell
Crystal system = tetragonal
Volume = 28.76 Å³ per atom
Uncorrected energy = -0.2431 Ry/atom
D(E_F) = 4.48 states/eV/f.u.
Calculated formation energy = -0.476 eV/atom